P | # Ca2CuF8

Crystalline Ca2CuF8 at its relaxed geometry (GGA-PBE, Alexandria via LeMat-Bulk).

POSCAR file:
```
Ca2CuF8
1.0
4.337 0.080 1.197
1.185 5.713 1.547
0.051 0.068 6.036
Ca Cu F
2 1 8
Direct
0.642 0.660 0.660 Ca
0.358 0.340 0.340 Ca
0.000 0.000 0.000 Cu
0.736 0.955 0.310 F
0.264 0.690 0.045 F
0.761 0.886 0.886 F
0.239 0.114 0.114 F
0.736 0.310 0.955 F
0.264 0.045 0.690 F
0.193 0.590 0.590 F
0.807 0.410 0.410 F
```

Results
SG	C2/m, No. 12
size of the total moment	1.25	Bohr magnetons per cell

---

Q | # Ca2CuF8

Crystalline Ca2CuF8 at its relaxed geometry (GGA-PBE, Alexandria via LeMat-Bulk).

POSCAR file:
```
Ca2CuF8
1.0
-2.799 -2.988 -1.159
1.385 -2.731 3.697
-3.711 5.556 2.448
Ca Cu F
2 1 8
Direct
0.834 0.335 0.667 Ca
0.166 0.665 0.333 Ca
0.500 0.000 0.000 Cu
0.400 0.635 0.799 F
0.614 0.883 0.228 F
0.774 0.762 0.548 F
0.997 0.251 0.995 F
0.226 0.238 0.452 F
0.386 0.117 0.772 F
0.600 0.365 0.201 F
0.003 0.749 0.005 F
```

Results
SG	C2/m, No. 12
size of the total moment	1.05	Bohr magnetons per cell

---

Short version: P is the most stable of them.